# 1
Computed, not measured: an optimized crystal structure of CsGe2P2 at the GGA-PBEsol level of DFT.

## Properties
- formation enthalpy at 0 K (eV/atom) = -0.1421

a b c (Å): 7.0051 7.0051 7.0051
angles (deg): 142.07 142.07 54.72
Atoms (fractional coordinates):
Cs 0.0000 0.0000 0.0000
Ge 0.2500 0.7500 0.5000
Ge 0.7500 0.2500 0.5000
P 0.3295 0.3295 0.0000
P 0.6705 0.6705 0.0000

***

# 2
Computed, not measured: an optimized crystal structure of KYTe at the GGA-PBEsol level of DFT.

## Properties
- ΔE_f (raw) (eV per atom) = 0.30

a b c (Å): 5.3119 5.3119 5.3119
angles (deg): 60.00 60.00 60.00
Atoms (fractional coordinates):
K 0.0000 0.0000 0.0000
Y 0.2500 0.2500 0.2500
Te 0.7500 0.7500 0.7500

***

# 3
Computed, not measured: an optimized crystal structure of Re2OsSe at the GGA-PBEsol level of DFT.

## Properties
- ΔE_f (raw) (eV per atom) = 0.99

a b c (Å): 3.7177 3.7177 4.3410
angles (deg): 90.00 90.00 90.00
Atoms (fractional coordinates):
Re 0.0000 0.5000 0.0000
Re 0.5000 0.0000 0.0000
Os 0.0000 0.0000 0.5000
Se 0.5000 0.5000 0.5000

***

| no. | theoretical density (kg/m3) | N(E_F) (states/eV/f.u.) | calculated total energy (eV/atom) |
| --- | --- | --- | --- |
| 1 | 4380 | 1.4 | -4.62 |
| 2 | 4005 | 3.5 | -3.53 |
| 3 | 17757 | 5.8 | -9.69 |